Cs2PrCo2O6 after structural relaxation, computed with PBE with a Hubbard U.

It has space group R-3m (No. 166, hexagonal axes), with a = 6.3612 Å, b = 6.3612 Å, c = 18.2103 Å, α = 90.00°, β = 90.00° and γ = 120.00°. The asymmetric unit holds Cs at (0.0000, 0.0000, 0.2231), Pr at (0.0000, 0.0000, 0.0000), Co at (0.0000, 0.0000, 0.4275) and O at (0.0194, 0.5097, 0.2552).

The calculation puts the density at 4.844 g cm⁻³. Its total energy is -5.783 eV/atom.